Record 1
Material: Tb8Nd3Sm2
Method: DFT, PBE
State: optimized geometry

Summary:
* E above lowest polymorph: 284 kJ/mol of formula units
* spin magnetization: 0.000 μB/cell
* calculated total energy: -4.43 eV per atom
* calculated volume: 447 Å³/cell
* energy of formation from the pure elements: 241.3 meV/atom
* density of states at the Fermi level: 22.715 states/eV per cell

Cell: 5.6743 7.7159 10.9143 Å, 110.70 90.02 90.00°
Positions (direct):
Sm 0.4993 0.2418 0.4837
Nd 0.5000 0.0000 0.0000
Sm 0.5007 0.7582 0.5163
Nd 0.0000 0.2918 0.0000
Nd 0.0000 0.7082 0.0000
Tb 0.0002 0.8661 0.7322
Tb 0.0005 0.6689 0.3378
Tb 0.4999 0.1826 0.7844
Tb 0.9998 0.1339 0.2678
Tb 0.4999 0.6017 0.7844
Tb 0.5001 0.8174 0.2156
Tb 0.9995 0.3311 0.6622
Tb 0.5001 0.3983 0.2156

Record 2
Material: TbNdSm5
Method: DFT, PBE
State: optimized geometry

Summary:
* E above lowest polymorph: 0 kJ/mol of formula units
* spin magnetization: 0.000 μB/cell
* calculated total energy: -4.54 eV per atom
* calculated volume: 476 Å³/cell
* energy of formation from the pure elements: 170.6 meV/atom
* density of states at the Fermi level: 17.372 states/eV per cell

Cell: 6.9007 6.9007 13.7528 Å, 61.99 61.99 59.87°
Positions (direct):
Sm 0.3123 0.3441 0.0003
Nd 0.7208 0.2792 0.7500
Sm 0.6877 0.6559 0.9997
Sm 0.3441 0.3123 0.5003
Tb 0.0000 0.0000 0.5000
Tb 0.0000 0.0000 0.0000
Sm 0.5989 0.8444 0.7466
Sm 0.4011 0.1556 0.2534
Sm 0.8399 0.1601 0.2500
Sm 0.1556 0.4011 0.7534
Sm 0.6559 0.6877 0.4997
Nd 0.2792 0.7208 0.2500
Sm 0.8444 0.5989 0.2466
Sm 0.1601 0.8399 0.7500

Record 3
Material: TbNd4Sm10
Method: DFT, PBE
State: optimized geometry

Summary:
* spin magnetization: 0.000 μB/cell
* calculated total energy: -4.00 eV per atom
* calculated volume: 601 Å³/cell
* energy of formation from the pure elements: 729.1 meV/atom
* density of states at the Fermi level: 27.093 states/eV per cell

Cell: 7.8538 9.5902 9.5902 Å, 80.35 65.83 65.83°
Positions (direct):
Sm 0.2500 0.5000 0.5000
Sm 0.5528 0.1001 0.2977
Sm 0.1495 0.2977 0.8999
Nd 0.2009 0.3998 0.1984
Sm 0.6529 0.2977 0.8999
Nd 0.7991 0.6002 0.8016
Sm 0.8505 0.7023 0.1001
Tb 0.0000 0.0000 0.0000
Sm 0.4472 0.8999 0.7023
Sm 0.0494 0.1001 0.2977
Sm 0.9506 0.8999 0.7023
Sm 0.3471 0.7023 0.1001
Sm 0.7500 0.5000 0.5000
Nd 0.6007 0.1984 0.6002
Nd 0.3993 0.8016 0.3998

Record 4
Material: Tb4Nd3Sm5
Method: DFT, PBE
State: optimized geometry

Summary:
* E above lowest polymorph: 0 kJ/mol of formula units
* spin magnetization: 0.000 μB/cell
* calculated total energy: -4.69 eV per atom
* calculated volume: 402 Å³/cell
* energy of formation from the pure elements: 13.3 meV/atom
* density of states at the Fermi level: 16.024 states/eV per cell

Cell: 7.2330 11.4445 13.0503 Å, 151.28 56.36 129.24°
Positions (direct):
Sm 0.7486 0.5012 0.0010
Sm 0.5000 0.0000 0.5000
Tb 0.9175 0.8335 0.6676
Nd 0.5861 0.1684 0.3338
Tb 0.8343 0.6679 0.8337
Nd 0.0000 0.0000 0.5000
Sm 0.6659 0.3322 0.1663
Tb 0.1657 0.3321 0.1663
Sm 0.2514 0.4988 0.9990
Nd 0.4139 0.8316 0.6662
Sm 0.3341 0.6678 0.8337
Tb 0.0825 0.1665 0.3324

Record 5
Material: Tb3Nd2Sm3
Method: DFT, PBE
State: optimized geometry

Summary:
* E above lowest polymorph: 50 kJ/mol of formula units
* spin magnetization: 0.000 μB/cell
* calculated total energy: -4.61 eV per atom
* calculated volume: 269 Å³/cell
* energy of formation from the pure elements: 91.0 meV/atom
* density of states at the Fermi level: 13.142 states/eV per cell

Cell: 5.8671 6.0638 8.6848 Å, 110.80 109.74 90.00°
Positions (direct):
Sm 0.3691 0.9227 0.7383
Tb 0.1293 0.6800 0.2586
Nd 0.7503 0.6852 0.5005
Sm 0.6309 0.0773 0.2617
Tb 0.8707 0.3200 0.7414
Nd 0.2497 0.3148 0.4995
Sm 0.5000 0.5000 0.0000
Tb 0.0000 0.0000 0.0000

Record 6
Material: Tb6NdSm3
Method: DFT, PBE
State: optimized geometry

Summary:
* E above lowest polymorph: 121 kJ/mol of formula units
* spin magnetization: 0.002 μB/cell
* calculated total energy: -4.40 eV per atom
* calculated volume: 334 Å³/cell
* energy of formation from the pure elements: 273.6 meV/atom
* density of states at the Fermi level: 21.615 states/eV per cell

Cell: 9.9383 9.9383 6.9379 Å, 44.26 44.26 60.00°
Positions (direct):
Tb 0.0736 0.4004 0.7993
Sm 0.1510 0.1510 0.5471
Tb 0.2276 0.9002 0.2993
Tb 0.5729 0.2276 0.2993
Sm 0.3997 0.3997 0.8008
Sm 0.6482 0.6482 0.0554
Tb 0.4004 0.7266 0.7993
Nd 0.8998 0.8998 0.3007
Tb 0.9002 0.5729 0.2993
Tb 0.7266 0.0736 0.7993

Record 7
Material: Tb5Nd2Sm12
Method: DFT, PBE
State: optimized geometry

Summary:
* E above lowest polymorph: 8 kJ/mol of formula units
* spin magnetization: 0.000 μB/cell
* calculated total energy: -4.57 eV per atom
* calculated volume: 647 Å³/cell
* energy of formation from the pure elements: 129.1 meV/atom
* density of states at the Fermi level: 27.482 states/eV per cell

Cell: 9.3321 12.5585 8.7301 Å, 132.80 90.00 111.81°
Positions (direct):
Sm 0.0274 0.6941 0.9332
Sm 0.1799 0.7461 0.4116
Nd 0.6755 0.0000 0.0000
Tb 0.2303 0.4606 0.8905
Tb 0.7014 0.4028 0.3822
Tb 0.0000 0.0000 0.5000
Tb 0.7697 0.5394 0.1095
Sm 0.8201 0.2539 0.5884
Sm 0.5662 0.7461 0.4116
Sm 0.6667 0.6941 0.9332
Tb 0.2986 0.5972 0.6178
Sm 0.9726 0.3059 0.0668
Sm 0.4338 0.2539 0.5884
Sm 0.9140 0.8280 0.7088
Sm 0.5618 0.1235 0.7847
Nd 0.3245 0.0000 0.0000
Sm 0.3333 0.3059 0.0668
Sm 0.0860 0.1720 0.2912
Sm 0.4382 0.8765 0.2153

Record 8
Material: TbNd5Sm5
Method: DFT, PBE
State: optimized geometry

Summary:
* E above lowest polymorph: 111 kJ/mol of formula units
* spin magnetization: 0.013 μB/cell
* calculated total energy: -4.49 eV per atom
* calculated volume: 384 Å³/cell
* energy of formation from the pure elements: 240.9 meV/atom
* density of states at the Fermi level: 17.328 states/eV per cell

Cell: 6.1365 9.8242 7.0431 Å, 106.97 90.00 108.20°
Positions (direct):
Sm 0.1729 0.3458 0.9208
Nd 0.3735 0.7471 0.3470
Nd 0.6704 0.3408 0.1945
Nd 0.6265 0.2529 0.6530
Sm 0.8232 0.6464 0.5861
Nd 0.0000 0.0000 0.5000
Nd 0.3296 0.6592 0.8055
Sm 0.8271 0.6542 0.0792
Tb 0.0000 0.0000 0.0000
Sm 0.1768 0.3536 0.4139
Sm 0.5000 0.0000 0.0000

Record 9
Material: Tb8Nd5Sm
Method: DFT, PBE
State: optimized geometry

Summary:
* spin magnetization: 0.000 μB/cell
* calculated total energy: -4.64 eV per atom
* calculated volume: 467 Å³/cell
* energy of formation from the pure elements: 43.2 meV/atom
* density of states at the Fermi level: 19.684 states/eV per cell

Cell: 3.5673 16.9559 8.9311 Å, 62.48 101.52 90.00°
Positions (direct):
Tb 0.4191 0.2232 0.8382
Tb 0.1466 0.5601 0.2932
Tb 0.9217 0.7219 0.8433
Nd 0.9999 0.0000 0.9999
Sm 0.5001 0.5000 0.0001
Nd 0.3549 0.9404 0.7098
Tb 0.2158 0.8540 0.4316
Tb 0.5809 0.7767 0.1618
Tb 0.7841 0.1460 0.5682
Nd 0.2867 0.6435 0.5734
Nd 0.7134 0.3565 0.4268
Nd 0.6449 0.0596 0.2899
Tb 0.0783 0.2781 0.1567
Tb 0.8535 0.4398 0.7070

Record 10
Material: Tb3Nd3Sm5
Method: DFT, PBE
State: optimized geometry

Summary:
* E above lowest polymorph: 0 kJ/mol of formula units
* spin magnetization: 0.000 μB/cell
* calculated total energy: -3.96 eV per atom
* calculated volume: 459 Å³/cell
* energy of formation from the pure elements: 750.8 meV/atom
* density of states at the Fermi level: 20.208 states/eV per cell

Cell: 5.6037 9.7297 9.7297 Å, 120.00 90.00 90.00°
Positions (direct):
Sm 0.5000 0.6304 0.6304
Nd 0.0000 0.5766 0.0000
Nd 0.0000 0.4234 0.4234
Nd 0.0000 0.0000 0.5766
Sm 0.5000 0.3696 0.0000
Tb 0.5000 0.2675 0.2675
Tb 0.5000 0.0000 0.7325
Sm 0.5000 0.3333 0.6667
Sm 0.5000 0.0000 0.3696
Tb 0.5000 0.7325 0.0000
Sm 0.5000 0.6667 0.3333